## CeCo2Si3 (PBE-GGA)

Data for CeCo2Si3 after structural relaxation.

Cell: 7.9082 7.9082 9.1979 Å, 104.74 104.74 28.29°
Sites, in units of the cell vectors:
Ce 0.0000 0.0000 0.0000
Ce 0.1515 0.1515 0.7019
Ce 0.8485 0.8485 0.2981
Co 0.2048 0.2048 0.1021
Co 0.3559 0.3559 0.5577
Co 0.4940 0.4940 0.2375
Co 0.5060 0.5060 0.7625
Co 0.6441 0.6441 0.4423
Co 0.7952 0.7952 0.8979
Si 0.0509 0.0509 0.3603
Si 0.2200 0.2200 0.3764
Si 0.3499 0.3499 0.0585
Si 0.3609 0.3609 0.8073
Si 0.5000 0.5000 0.5000
Si 0.6391 0.6391 0.1927
Si 0.6501 0.6501 0.9415
Si 0.7800 0.7800 0.6236
Si 0.9491 0.9491 0.6397

For the uncorrected formation energy, the calculation gives -0.67 eV/atom. The space group is C2/m (12). As for the total moment: 0.00 Bohr magnetons per cell.